Density functional theory data (PBE) for Sc2NiAg2 after structural relaxation.

Calculated values
As for the space group: P4/mbm (127). For the formation energy, the calculation gives -0.87 kcal/mol of atoms.

a = 7.0730 Å, b = 7.0730 Å, c = 3.8557 Å
α = 90.00°, β = 90.00°, γ = 90.00°
With the nearest neighbours (Å) after each atom.
Sites, in units of the cell vectors:
Sc 0.1724 0.3276 0.0000  6 Ag 2.72-2.92
Sc 0.3276 0.8276 0.0000  6 Ag 2.72-2.92
Sc 0.6724 0.1724 0.0000  6 Ag 2.72-2.92
Sc 0.8276 0.6724 0.0000  6 Ag 2.72-2.92
Ni 0.0000 0.0000 0.5000  4 Ag 2.75
Ni 0.5000 0.5000 0.5000  4 Ag 2.75
Ag 0.1358 0.6358 0.5000  1 Ag 2.72, 6 Sc 2.72-2.92, 2 Ni 2.75
Ag 0.3642 0.1358 0.5000  1 Ag 2.72, 6 Sc 2.72-2.92, 2 Ni 2.75
Ag 0.6358 0.8642 0.5000  1 Ag 2.72, 6 Sc 2.72-2.92, 2 Ni 2.75
Ag 0.8642 0.3642 0.5000  1 Ag 2.72, 6 Sc 2.72-2.92, 2 Ni 2.75